1.
Er3Lu3FeSb2 | OQMD | GGA-PBE | relaxed; polymorph energy (0 for the lowest one) = 0.000 eV per atom; space group = P-62m, No. 189
1.0
-0.9929 -5.9587 -5.3209
6.8185 0.5074 4.2490
-1.6478 -2.3356 2.9231
Er Fe Lu Sb
3 1 3 2
direct
0.3928 0.0000 0.5000
0.0000 0.3928 0.5000
0.6072 0.6072 0.5000
0.0000 0.0000 0.5000
0.7686 0.0000 0.0000
0.2314 0.2314 0.0000
0.0000 0.7686 0.0000
0.6667 0.3333 0.0000
0.3333 0.6667 0.0000

---

2.
TaAsOs | OQMD | GGA-PBE | relaxed; energy = -9.374 eV/atom; space group = Pnma, No. 62
1.0
6.4059 0.0000 0.0000
0.0000 3.9883 0.0000
0.0000 0.0000 7.3731
As Os Ta
4 4 4
direct
0.2404 0.0000 0.1203
0.7404 0.0000 0.3797
0.2596 0.5000 0.6203
0.7596 0.5000 0.8797
0.8557 0.0000 0.0639
0.3557 0.0000 0.4361
0.6443 0.5000 0.5639
0.1443 0.5000 0.9361
0.5214 0.5000 0.1796
0.0214 0.5000 0.3204
0.9786 0.0000 0.6796
0.4786 0.0000 0.8204

---

3.
ZrAlCo | OQMD | GGA-PBE | relaxed; energy = -6.166 eV/atom; space group = F-43m, No. 216
1.0
0.0000 2.9923 2.9923
2.9923 0.0000 2.9923
2.9923 2.9923 0.0000
Al Co Zr
1 1 1
direct
0.0000 0.0000 0.0000
0.2500 0.2500 0.2500
0.7500 0.7500 0.7500